# 1
# Nd8Al2Hg | Alexandria | PBE | optimized geometry
# calculated density = 7.00 Mg/m³
# excess energy over the best structure of this formula in the dataset = 31 meV per atom
# crystal system = orthorhombic
data_Nd8Al2Hg
_chemical_formula_sum 'Nd8 Al2 Hg1'
_cell_length_a 9.013
_cell_length_b 9.013
_cell_length_c 9.013
_cell_angle_alpha 146.86
_cell_angle_beta 122.17
_cell_angle_gamma 68.30
_symmetry_space_group_name_H-M 'P 1'
_symmetry_Int_Tables_number 1
loop_
_symmetry_equiv_pos_as_xyz
'x,y,z'
loop_
_atom_site_label
_atom_site_fract_x
_atom_site_fract_y
_atom_site_fract_z
Nd1 0.120 0.340 0.781
Nd2 0.143 0.143 0.000
Nd3 0.320 0.000 0.320
Nd4 0.441 0.660 0.781
Nd5 0.559 0.340 0.219
Nd6 0.680 0.000 0.680
Nd7 0.857 0.857 0.000
Nd8 0.880 0.660 0.219
Al1 0.306 0.806 0.500
Al2 0.694 0.194 0.500
Hg1 0.000 0.500 0.500

***

# 2
# NdAl3Hg3 | Alexandria | PBE | optimized geometry
# calculated density = 7.17 Mg/m³
# crystal system = cubic
data_NdAl3Hg3
_chemical_formula_sum 'Nd2 Al6 Hg6'
_cell_length_a 7.262
_cell_length_b 7.262
_cell_length_c 7.262
_cell_angle_alpha 90.00
_cell_angle_beta 90.00
_cell_angle_gamma 90.00
_symmetry_space_group_name_H-M 'P 1'
_symmetry_Int_Tables_number 1
loop_
_symmetry_equiv_pos_as_xyz
'x,y,z'
loop_
_atom_site_label
_atom_site_fract_x
_atom_site_fract_y
_atom_site_fract_z
Nd1 0.000 0.000 0.000
Nd2 0.500 0.500 0.500
Al1 0.000 0.250 0.500
Al2 0.000 0.750 0.500
Al3 0.250 0.500 0.000
Al4 0.500 0.000 0.250
Al5 0.500 0.000 0.750
Al6 0.750 0.500 0.000
Hg1 0.000 0.500 0.250
Hg2 0.000 0.500 0.750
Hg3 0.250 0.000 0.500
Hg4 0.500 0.250 0.000
Hg5 0.500 0.750 0.000
Hg6 0.750 0.000 0.500

***

# 3
# Nd2AlHg8 | Alexandria | PBE | optimized geometry
# calculated density = 11.49 Mg/m³
# crystal system = tetragonal
data_Nd2AlHg8
_chemical_formula_sum 'Nd2 Al1 Hg8'
_cell_length_a 4.689
_cell_length_b 4.689
_cell_length_c 12.625
_cell_angle_alpha 90.00
_cell_angle_beta 90.00
_cell_angle_gamma 90.00
_symmetry_space_group_name_H-M 'P 1'
_symmetry_Int_Tables_number 1
loop_
_symmetry_equiv_pos_as_xyz
'x,y,z'
loop_
_atom_site_label
_atom_site_fract_x
_atom_site_fract_y
_atom_site_fract_z
Nd1 0.000 0.000 0.193
Nd2 0.000 0.000 0.807
Al1 0.000 0.000 0.500
Hg1 0.000 0.500 0.000
Hg2 0.000 0.500 0.374
Hg3 0.000 0.500 0.626
Hg4 0.500 0.000 0.000
Hg5 0.500 0.000 0.374
Hg6 0.500 0.000 0.626
Hg7 0.500 0.500 0.194
Hg8 0.500 0.500 0.806

***

# 4
# Nd5Al4Hg | Alexandria | PBE | optimized geometry
# calculated density = 6.47 Mg/m³
# crystal system = tetragonal
data_Nd5Al4Hg
_chemical_formula_sum 'Nd5 Al4 Hg1'
_cell_length_a 3.718
_cell_length_b 3.718
_cell_length_c 19.103
_cell_angle_alpha 90.00
_cell_angle_beta 90.00
_cell_angle_gamma 90.00
_symmetry_space_group_name_H-M 'P 1'
_symmetry_Int_Tables_number 1
loop_
_symmetry_equiv_pos_as_xyz
'x,y,z'
loop_
_atom_site_label
_atom_site_fract_x
_atom_site_fract_y
_atom_site_fract_z
Nd1 0.000 0.000 0.000
Nd2 0.000 0.000 0.195
Nd3 0.000 0.000 0.392
Nd4 0.000 0.000 0.608
Nd5 0.000 0.000 0.805
Al1 0.500 0.500 0.097
Al2 0.500 0.500 0.295
Al3 0.500 0.500 0.705
Al4 0.500 0.500 0.903
Hg1 0.500 0.500 0.500

***

# 5
# Nd9Al2Hg | Alexandria | PBE | optimized geometry
# calculated density = 7.25 Mg/m³
# crystal system = tetragonal
data_Nd9Al2Hg
_chemical_formula_sum 'Nd9 Al2 Hg1'
_cell_length_a 4.913
_cell_length_b 4.913
_cell_length_c 14.727
_cell_angle_alpha 90.00
_cell_angle_beta 90.00
_cell_angle_gamma 90.00
_symmetry_space_group_name_H-M 'P 1'
_symmetry_Int_Tables_number 1
loop_
_symmetry_equiv_pos_as_xyz
'x,y,z'
loop_
_atom_site_label
_atom_site_fract_x
_atom_site_fract_y
_atom_site_fract_z
Nd1 0.000 0.000 0.000
Nd2 0.000 0.000 0.334
Nd3 0.000 0.000 0.666
Nd4 0.000 0.500 0.171
Nd5 0.000 0.500 0.500
Nd6 0.000 0.500 0.829
Nd7 0.500 0.000 0.171
Nd8 0.500 0.000 0.500
Nd9 0.500 0.000 0.829
Al1 0.500 0.500 0.334
Al2 0.500 0.500 0.666
Hg1 0.500 0.500 0.000

***

# 6
# NdAlHg2 | Alexandria | PBE | optimized geometry
# calculated density = 9.81 Mg/m³
# crystal system = tetragonal
data_NdAlHg2
_chemical_formula_sum 'Nd1 Al1 Hg2'
_cell_length_a 4.532
_cell_length_b 4.532
_cell_length_c 4.718
_cell_angle_alpha 90.00
_cell_angle_beta 90.00
_cell_angle_gamma 90.00
_symmetry_space_group_name_H-M 'P 1'
_symmetry_Int_Tables_number 1
loop_
_symmetry_equiv_pos_as_xyz
'x,y,z'
loop_
_atom_site_label
_atom_site_fract_x
_atom_site_fract_y
_atom_site_fract_z
Nd1 0.000 0.000 0.000
Al1 0.500 0.500 0.000
Hg1 0.000 0.500 0.500
Hg2 0.500 0.000 0.500

***

# 7
# NdAlHg2 | Alexandria | PBE | optimized geometry
# calculated density = 9.98 Mg/m³
# crystal system = tetragonal
data_NdAlHg2
_chemical_formula_sum 'Nd1 Al1 Hg2'
_cell_length_a 3.600
_cell_length_b 3.600
_cell_length_c 7.349
_cell_angle_alpha 90.00
_cell_angle_beta 90.00
_cell_angle_gamma 90.00
_symmetry_space_group_name_H-M 'P 1'
_symmetry_Int_Tables_number 1
loop_
_symmetry_equiv_pos_as_xyz
'x,y,z'
loop_
_atom_site_label
_atom_site_fract_x
_atom_site_fract_y
_atom_site_fract_z
Nd1 0.000 0.000 0.000
Al1 0.000 0.000 0.500
Hg1 0.500 0.500 0.284
Hg2 0.500 0.500 0.716

***

# 8
# NdAl2Hg | Alexandria | PBE | optimized geometry
# calculated density = 7.15 Mg/m³
# excess energy over the best structure of this formula in the dataset = 112 meV per atom
# crystal system = orthorhombic
data_NdAl2Hg
_chemical_formula_sum 'Nd1 Al2 Hg1'
_cell_length_a 5.725
_cell_length_b 5.725
_cell_length_c 3.235
_cell_angle_alpha 90.00
_cell_angle_beta 90.00
_cell_angle_gamma 119.17
_symmetry_space_group_name_H-M 'P 1'
_symmetry_Int_Tables_number 1
loop_
_symmetry_equiv_pos_as_xyz
'x,y,z'
loop_
_atom_site_label
_atom_site_fract_x
_atom_site_fract_y
_atom_site_fract_z
Nd1 0.000 0.000 0.000
Al1 0.000 0.500 0.500
Al2 0.500 0.000 0.500
Hg1 0.500 0.500 0.500

***

# 9
# Nd6AlHg3 | Alexandria | PBE | optimized geometry
# calculated density = 8.54 Mg/m³
# crystal system = monoclinic
data_Nd6AlHg3
_chemical_formula_sum 'Nd12 Al2 Hg6'
_cell_length_a 9.553
_cell_length_b 5.344
_cell_length_c 11.858
_cell_angle_alpha 90.00
_cell_angle_beta 106.29
_cell_angle_gamma 90.00
_symmetry_space_group_name_H-M 'P 1'
_symmetry_Int_Tables_number 1
loop_
_symmetry_equiv_pos_as_xyz
'x,y,z'
loop_
_atom_site_label
_atom_site_fract_x
_atom_site_fract_y
_atom_site_fract_z
Nd1 0.023 0.250 0.404
Nd2 0.157 0.750 0.175
Nd3 0.261 0.250 0.001
Nd4 0.352 0.750 0.831
Nd5 0.376 0.250 0.344
Nd6 0.390 0.250 0.622
Nd7 0.610 0.750 0.378
Nd8 0.624 0.750 0.656
Nd9 0.648 0.250 0.169
Nd10 0.739 0.750 0.999
Nd11 0.843 0.250 0.825
Nd12 0.977 0.750 0.596
Al1 0.453 0.750 0.111
Al2 0.547 0.250 0.889
Hg1 0.025 0.750 0.878
Hg2 0.120 0.250 0.721
Hg3 0.272 0.750 0.469
Hg4 0.728 0.250 0.531
Hg5 0.880 0.750 0.279
Hg6 0.975 0.250 0.122

***

# 10
# NdAl4Hg | Alexandria | PBE | optimized geometry
# calculated density = 5.94 Mg/m³
# crystal system = cubic
data_NdAl4Hg
_chemical_formula_sum 'Nd1 Al4 Hg1'
_cell_length_a 5.634
_cell_length_b 5.634
_cell_length_c 5.634
_cell_angle_alpha 60.00
_cell_angle_beta 60.00
_cell_angle_gamma 60.00
_symmetry_space_group_name_H-M 'P 1'
_symmetry_Int_Tables_number 1
loop_
_symmetry_equiv_pos_as_xyz
'x,y,z'
loop_
_atom_site_label
_atom_site_fract_x
_atom_site_fract_y
_atom_site_fract_z
Nd1 0.000 0.000 0.000
Al1 0.123 0.626 0.626
Al2 0.626 0.123 0.626
Al3 0.626 0.626 0.123
Al4 0.626 0.626 0.626
Hg1 0.250 0.250 0.250

***

# 11
# Nd8Al2Hg | Alexandria | PBE | optimized geometry
# calculated density = 6.91 Mg/m³
# excess energy over the best structure of this formula in the dataset = 0 meV per atom
# crystal system = monoclinic
data_Nd8Al2Hg
_chemical_formula_sum 'Nd8 Al2 Hg1'
_cell_length_a 9.506
_cell_length_b 9.506
_cell_length_c 7.607
_cell_angle_alpha 108.47
_cell_angle_beta 108.47
_cell_angle_gamma 31.43
_symmetry_space_group_name_H-M 'P 1'
_symmetry_Int_Tables_number 1
loop_
_symmetry_equiv_pos_as_xyz
'x,y,z'
loop_
_atom_site_label
_atom_site_fract_x
_atom_site_fract_y
_atom_site_fract_z
Nd1 0.021 0.021 0.257
Nd2 0.198 0.198 0.792
Nd3 0.334 0.334 0.556
Nd4 0.405 0.405 0.037
Nd5 0.595 0.595 0.963
Nd6 0.666 0.666 0.444
Nd7 0.802 0.802 0.208
Nd8 0.979 0.979 0.743
Al1 0.187 0.187 0.198
Al2 0.813 0.813 0.802
Hg1 0.500 0.500 0.500

***

| no. | formation energy from the elements (eV/atom) |
| --- | --- |
| 1 | -0.150 |
| 2 | 0.240 |
| 3 | -0.272 |
| 4 | -0.376 |
| 5 | -0.171 |
| 6 | -0.291 |
| 7 | -0.222 |
| 8 | -0.199 |
| 9 | -0.330 |
| 10 | -0.147 |
| 11 | -0.181 |